(1)
Below is a relaxed Ce2SmOs9 crystal, with properties calculated at the PBE level.

Results
Its energy of formation is -0.056 eV per atom.

```
data_Ce2SmOs9
_chemical_formula_sum 'Ce4 Sm2 Os18'
_cell_length_a 9.1460
_cell_length_b 5.4425
_cell_length_c 9.3088
_cell_angle_alpha 90.00
_cell_angle_beta 109.65
_cell_angle_gamma 90.00
_space_group_name_H-M_alt 'C 1 2/m 1'
_space_group_IT_number 12
loop_
_space_group_symop_operation_xyz
'x,y,z'
'-x,-y,-z'
'-x,y,-z'
'x,-y,z'
'x+1/2,y+1/2,z'
'-x+1/2,-y+1/2,-z'
'-x+1/2,y+1/2,-z'
'x+1/2,-y+1/2,z'
loop_
_atom_site_label
_atom_site_fract_x
_atom_site_fract_y
_atom_site_fract_z
_atom_site_occupancy
Ce1 0.1380 0.0000 0.4226 1
Sm1 0.0000 0.0000 0.0000 1
Os1 0.0000 0.5000 0.5000 1
Os2 0.0963 0.5000 0.2615 1
Os3 0.1375 0.5000 0.9949 1
Os4 0.1712 0.2532 0.7636 1
```

***

(2)
Below is a relaxed Mn4NbMo crystal, with properties calculated at the PBE level.

Results
Its energy of formation is -0.082 eV per atom.

```
data_Mn4NbMo
_chemical_formula_sum 'Mn16 Nb4 Mo4'
_cell_length_a 6.7498
_cell_length_b 6.7498
_cell_length_c 6.7498
_cell_angle_alpha 90.00
_cell_angle_beta 90.00
_cell_angle_gamma 90.00
_space_group_name_H-M_alt 'F -4 3 m'
_space_group_IT_number 216
_space_group_name_Hall 'F -4 2 3'
loop_
_atom_site_label
_atom_site_fract_x
_atom_site_fract_y
_atom_site_fract_z
_atom_site_occupancy
Mn1 0.1242 0.1242 0.3758 1
Nb1 0.2500 0.2500 0.7500 1
Mo1 0.0000 0.0000 0.0000 1
```

***

(3)
Below is a relaxed GeOsN3 crystal, with properties calculated at the PBE level.

Results
The value obtained for the uncorrected formation energy is 1.9198 eV per atom.

```
data_GeOsN3
_chemical_formula_sum 'Ge1 Os1 N3'
_cell_length_a 3.7184
_cell_length_b 3.7184
_cell_length_c 3.7184
_cell_angle_alpha 90.00
_cell_angle_beta 90.00
_cell_angle_gamma 90.00
_space_group_name_H-M_alt 'P m -3 m'
_space_group_IT_number 221
_space_group_name_Hall '-P 4 2 3'
loop_
_atom_site_label
_atom_site_fract_x
_atom_site_fract_y
_atom_site_fract_z
_atom_site_occupancy
Ge1 0.0000 0.0000 0.0000 1
Os1 0.5000 0.5000 0.5000 1
N1 0.0000 0.0000 0.5000 1
```

***

(4)
Below is a relaxed La2TmCd crystal, with properties calculated at the PBE level.

Results
Its energy of formation is -0.016 eV per atom.

```
data_La2TmCd
_chemical_formula_sum 'La4 Tm2 Cd2'
_cell_length_a 3.5958
_cell_length_b 3.5116
_cell_length_c 20.3127
_cell_angle_alpha 90.00
_cell_angle_beta 90.00
_cell_angle_gamma 90.00
_space_group_name_H-M_alt 'A m m 2'
_space_group_IT_number 38
loop_
_space_group_symop_operation_xyz
'x,y,z'
'-x,-y,z'
'-x,y,z'
'x,-y,z'
'x,y+1/2,z+1/2'
'-x,-y+1/2,z+1/2'
'-x,y+1/2,z+1/2'
'x,-y+1/2,z+1/2'
loop_
_atom_site_label
_atom_site_fract_x
_atom_site_fract_y
_atom_site_fract_z
_atom_site_occupancy
La1 0.0000 0.0000 0.0000 1
La2 0.5000 0.0000 0.3595 1
Tm1 0.0000 0.0000 0.2111 1
Cd1 0.5000 0.0000 0.6153 1
```

***

(5)
Below is a relaxed La4NpO10 crystal, with properties calculated at the PBE level.

Results
The value obtained for the uncorrected formation energy is -3.0845 eV per atom.

```
data_La4NpO10
_chemical_formula_sum 'La8 Np2 O20'
_cell_length_a 8.8457
_cell_length_b 8.8457
_cell_length_c 5.6312
_cell_angle_alpha 90.00
_cell_angle_beta 90.00
_cell_angle_gamma 90.00
_space_group_name_H-M_alt 'I 4/m'
_space_group_IT_number 87
_space_group_name_Hall '-I 4'
loop_
_atom_site_label
_atom_site_fract_x
_atom_site_fract_y
_atom_site_fract_z
_atom_site_occupancy
La1 0.0985 0.3023 0.0000 1
Np1 0.0000 0.0000 0.5000 1
O1 0.0000 0.5000 0.2500 1
O2 0.0934 0.8205 0.2749 1
```

***

(6)
Below is a relaxed Sm6YHo2Th crystal, with properties calculated at the PBE level.

Results
Its energy of formation is 0.145 eV per atom.

```
data_Sm6YHo2Th
_chemical_formula_sum 'Sm24 Y4 Ho8 Th4'
_cell_length_a 9.2933
_cell_length_b 15.0195
_cell_length_c 9.6356
_cell_angle_alpha 90.00
_cell_angle_beta 97.17
_cell_angle_gamma 90.00
_space_group_name_H-M_alt 'C 1 2/c 1'
_space_group_IT_number 15
loop_
_space_group_symop_operation_xyz
'x,y,z'
'-x,-y,-z'
'-x,y,-z+1/2'
'x,-y,z+1/2'
'x+1/2,y+1/2,z'
'-x+1/2,-y+1/2,-z'
'-x+1/2,y+1/2,-z+1/2'
'x+1/2,-y+1/2,z+1/2'
loop_
_atom_site_label
_atom_site_fract_x
_atom_site_fract_y
_atom_site_fract_z
_atom_site_occupancy
Sm1 0.0632 0.1752 0.4420 1
Sm2 0.0949 0.3896 0.6184 1
Sm3 0.2072 0.2204 0.8155 1
Y1 0.0000 0.4081 0.2500 1
Ho1 0.2484 0.0466 0.0504 1
Th1 0.0000 0.0307 0.7500 1
```

***

(7)
Below is a relaxed NaYMg2Co crystal, with properties calculated at the PBE level.

Results
Its energy of formation is 0.077 eV per atom.

```
data_NaYMg2Co
_chemical_formula_sum 'Na1 Y1 Mg2 Co1'
_cell_length_a 5.0923
_cell_length_b 5.0923
_cell_length_c 4.9260
_cell_angle_alpha 90.00
_cell_angle_beta 90.00
_cell_angle_gamma 90.00
_space_group_name_H-M_alt 'P 4/m m m'
_space_group_IT_number 123
_space_group_name_Hall '-P 4 2'
loop_
_atom_site_label
_atom_site_fract_x
_atom_site_fract_y
_atom_site_fract_z
_atom_site_occupancy
Na1 0.0000 0.0000 0.0000 1
Y1 0.5000 0.5000 0.0000 1
Mg1 0.0000 0.5000 0.5000 1
Co1 0.5000 0.5000 0.5000 1
```

***

(8)
Below is a relaxed NaAuF4 crystal, with properties calculated at the PBE level.

Results
The value obtained for the uncorrected formation energy is -1.5630 eV per atom.

```
data_NaAuF4
_chemical_formula_sum 'Na2 Au2 F8'
_cell_length_a 6.8270
_cell_length_b 7.2453
_cell_length_c 3.6788
_cell_angle_alpha 90.00
_cell_angle_beta 90.00
_cell_angle_gamma 90.00
_space_group_name_H-M_alt 'C m m m'
_space_group_IT_number 65
_space_group_name_Hall '-C 2 2'
loop_
_atom_site_label
_atom_site_fract_x
_atom_site_fract_y
_atom_site_fract_z
_atom_site_occupancy
Na1 0.0000 0.0000 0.0000 1
Au1 0.0000 0.5000 0.5000 1
F1 0.0000 0.3194 0.0000 1
F2 0.2106 0.0000 0.5000 1
```

***

(9)
Below is a relaxed CsSiTe2 crystal, with properties calculated at the PBE level.

Results
The value obtained for the uncorrected formation energy is 0.0572 eV per atom.

```
data_CsSiTe2
_chemical_formula_sum 'Cs3 Si3 Te6'
_cell_length_a 6.4109
_cell_length_b 6.4109
_cell_length_c 23.0392
_cell_angle_alpha 90.00
_cell_angle_beta 90.00
_cell_angle_gamma 120.00
_space_group_name_H-M_alt 'R -3 m'
_space_group_IT_number 166
_space_group_name_Hall '-R 3 2"'
loop_
_atom_site_label
_atom_site_fract_x
_atom_site_fract_y
_atom_site_fract_z
_atom_site_occupancy
Cs1 0.0000 0.0000 0.0000 1
Si1 0.0000 0.0000 0.5000 1
Te1 0.0000 0.0000 0.3938 1
```